BeZnCu4 | the Alexandria database | PBE | optimized geometry; ΔE to the lowest computed polymorph = 0.044 eV per atom; spin magnetization = 0.00 μB per formula unit; ΔE_f = -0.011 eV/atom; ρ = 7.665 g/cm3
1.0
-2.5737 2.8640 2.2705
0.8474 -5.6497 3.4044
5.0341 3.3670 -0.5996
Be Zn Cu
2 2 8
Direct
0.2516 0.0016 0.0031
0.7484 0.9984 0.9969
0.3537 0.6037 0.2074
0.6463 0.3963 0.7926
0.0396 0.1788 0.7854
0.7681 0.7140 0.6335
0.2458 0.6066 0.7854
0.3654 0.9195 0.6335
0.6346 0.0805 0.3665
0.7542 0.3934 0.2146
0.2319 0.2860 0.3665
0.9604 0.8212 0.2146


Zr2Ti2Al | the Alexandria database | PBE | optimized geometry; ΔE to the lowest computed polymorph = 0.232 eV per atom; spin magnetization = 0.00 μB per formula unit; ΔE_f = 0.102 eV/atom; ρ = 5.040 g/cm3
1.0
7.3498 0.0000 0.0000
0.0000 7.3498 0.0000
0.0000 0.0000 3.7221
Al Zr Ti
2 4 4
Direct
0.0000 0.0000 0.0000
0.5000 0.5000 0.0000
0.3581 0.8581 0.0000
0.8581 0.6419 0.0000
0.6419 0.1419 0.0000
0.1419 0.3581 0.0000
0.1602 0.6602 0.5000
0.6602 0.8398 0.5000
0.8398 0.3398 0.5000
0.3398 0.1602 0.5000


K2BeAl | the Alexandria database | PBE | optimized geometry; ΔE to the lowest computed polymorph = 0.000 eV per atom; spin magnetization = 0.00 μB per formula unit; ΔE_f = 0.398 eV/atom; ρ = 1.317 g/cm3
1.0
4.5254 0.0000 0.0000
0.0000 6.0547 -0.0003
0.0000 3.0281 5.2531
Be K Al
1 2 1
Direct
0.5000 0.6252 0.6252
0.0000 0.9581 0.9584
0.5000 0.2912 0.2921
0.0000 0.6255 0.6244


Li4Er3HfSe8 | the Alexandria database | PBE | optimized geometry; spin magnetization = 0.00 μB per formula unit; uncorrected formation energy = -1.573 eV/atom; ρ = 6.304 g/cm3
1.0
7.9186 0.0000 0.0000
0.0000 7.9465 0.0118
-3.9593 -3.9545 5.6025
Li Er Hf Se
4 3 1 8
Direct
0.5000 0.0000 0.0000
0.5000 0.0000 0.5000
0.0000 0.0000 0.0000
0.0000 0.0000 0.5000
0.5000 0.5000 0.0000
0.5000 0.5000 0.5000
0.0000 0.5000 0.5000
0.0000 0.5000 0.0000
0.2439 0.7500 0.0061
0.2439 0.7500 0.4878
0.2480 0.2442 0.4961
0.7622 0.7500 0.0061
0.2378 0.2500 0.9939
0.7520 0.7558 0.5039
0.7561 0.2500 0.5122
0.7561 0.2500 0.9939


HoCuAu | the Alexandria database | PBE | optimized geometry; ΔE to the lowest computed polymorph = 0.093 eV per atom; spin magnetization = 0.00 μB per formula unit; ΔE_f = -0.471 eV/atom; ρ = 12.080 g/cm3
1.0
-2.8489 -0.8747 2.4664
-1.6699 -3.1360 -3.0411
5.1474 -4.1283 1.4307
Ho Cu Au
2 2 2
Direct
0.4009 0.2500 0.8014
0.5991 0.7500 0.1986
0.7378 0.2500 0.4765
0.2622 0.7500 0.5235
0.0907 0.2500 0.1832
0.9093 0.7500 0.8168


BaNpAuSe3 | the Alexandria database | PBE | optimized geometry; spin magnetization = 3.93 μB per formula unit; uncorrected formation energy = -1.169 eV/atom; ρ = 7.855 g/cm3
1.0
4.2707 0.0000 0.0000
0.0000 8.7122 -0.2006
0.0000 -2.4974 9.2405
Ba Np Au Se
2 2 2 6
Direct
0.2500 0.2036 0.2451
0.7500 0.7964 0.7549
0.2500 0.6775 0.1623
0.7500 0.3225 0.8377
0.2500 0.1055 0.5767
0.7500 0.8945 0.4233
0.7500 0.8983 0.1383
0.2500 0.1017 0.8617
0.2500 0.7274 0.4707
0.7500 0.2726 0.5293
0.7500 0.4463 0.1516
0.2500 0.5537 0.8484